Record 1
## Ba2Na2Mg15 (PBE-GGA)

Data for a relaxed Ba2Na2Mg15 crystal.

Values from the calculation:
Formation energy ... -0.04 eV per atom
Electronic total energy ... -1.637 eV per atom

a = 8.1293 Å, b = 8.1293 Å, c = 8.1293 Å
α = 83.66°, β = 83.66°, γ = 83.66°
With the nearest neighbours (Å) after each atom.
Positions (direct):
Ba 0.3398 0.3398 0.3398  1 Na 3.76, 18 Mg 3.79-4.13
Ba 0.6602 0.6602 0.6602  1 Na 3.76, 18 Mg 3.79-4.13
Na 0.0978 0.0978 0.0978  1 Na 3.04, 3 Mg 3.31
Na 0.9022 0.9022 0.9022  1 Na 3.04, 3 Mg 3.31
Mg 0.5000 0.0000 0.0000  8 Mg 3.08-3.16, 2 Na 3.31
Mg 0.0000 0.0000 0.5000  8 Mg 3.08-3.16, 2 Na 3.31
Mg 0.0000 0.5000 0.0000  8 Mg 3.08-3.16, 2 Na 3.31
Mg 0.0000 0.6973 0.3027  8 Mg 3.08-3.28
Mg 0.6973 0.3027 0.0000  8 Mg 3.08-3.28
Mg 0.3027 0.0000 0.6973  8 Mg 3.08-3.28
Mg 0.3027 0.6973 0.0000  8 Mg 3.08-3.28
Mg 0.6973 0.0000 0.3027  8 Mg 3.08-3.28
Mg 0.0000 0.3027 0.6973  8 Mg 3.08-3.28
Mg 0.1610 0.6522 0.6522  8 Mg 3.10-3.24, 1 Na 3.42
Mg 0.6522 0.6522 0.1610  8 Mg 3.10-3.24, 1 Na 3.42
Mg 0.6522 0.1610 0.6522  8 Mg 3.10-3.24, 1 Na 3.42
Mg 0.8390 0.3478 0.3478  8 Mg 3.10-3.24, 1 Na 3.42
Mg 0.3478 0.3478 0.8390  8 Mg 3.10-3.24, 1 Na 3.42
Mg 0.3478 0.8390 0.3478  8 Mg 3.10-3.24, 1 Na 3.42

Record 2
## ReTc6Os3 (PBE-GGA)

Data for a relaxed ReTc6Os3 crystal.

Values from the calculation:
Formation energy ... 0.49 eV per atom
Electronic total energy ... -10.341 eV per atom

a = 5.0647 Å, b = 7.7682 Å, c = 8.0605 Å
α = 90.00°, β = 89.88°, γ = 90.00°
With the nearest neighbours (Å) after each atom.
Positions (direct):
Re 0.5000 0.5000 0.5000  2 Os 2.57, 8 Tc 2.57-2.87
Re 0.0000 0.0000 0.0000  2 Os 2.57, 8 Tc 2.57-2.87
Tc 0.4968 0.8442 0.9347  4 Tc 2.64-2.82, 4 Os 2.70-2.83, 2 Re 2.84-2.87
Tc 0.4971 0.8426 0.5614  4 Tc 2.64-2.84, 1 Re 2.71, 5 Os 2.71-2.87
Tc 0.2661 0.8903 0.2504  2 Os 2.37-2.56, 1 Re 2.57
Tc 0.7339 0.1098 0.7496  2 Os 2.37-2.56, 1 Re 2.57
Tc 0.5029 0.1574 0.4386  4 Tc 2.64-2.84, 1 Re 2.71, 5 Os 2.71-2.87
Tc 0.5032 0.1558 0.0653  4 Tc 2.64-2.82, 4 Os 2.70-2.83, 2 Re 2.84-2.87
Tc 0.9968 0.6558 0.4347  4 Tc 2.64-2.82, 4 Os 2.70-2.83, 2 Re 2.84-2.87
Tc 0.9971 0.6574 0.0614  4 Tc 2.64-2.84, 1 Re 2.71, 5 Os 2.71-2.87
Tc 0.7661 0.6097 0.7504  2 Os 2.37-2.56, 1 Re 2.57
Tc 0.2339 0.3903 0.2496  2 Os 2.37-2.56, 1 Re 2.57
Tc 0.0029 0.3426 0.9386  4 Tc 2.64-2.84, 1 Re 2.71, 5 Os 2.71-2.87
Tc 0.0032 0.3442 0.5653  4 Tc 2.64-2.82, 4 Os 2.70-2.83, 2 Re 2.84-2.87
Os 0.2668 0.1104 0.7503  1 Tc 2.37, 1 Re 2.57, 1 Os 2.58
Os 0.5000 0.5000 0.0000  8 Tc 2.56-2.87, 2 Os 2.58
Os 0.7332 0.8896 0.2497  1 Tc 2.37, 1 Re 2.57, 1 Os 2.58
Os 0.7668 0.3896 0.2503  1 Tc 2.37, 1 Re 2.57, 1 Os 2.58
Os 0.0000 0.0000 0.5000  8 Tc 2.56-2.87, 2 Os 2.58
Os 0.2332 0.6104 0.7497  1 Tc 2.37, 1 Re 2.57, 1 Os 2.58

Record 3
## CeNpIrOs (PBE-GGA)

Data for a relaxed CeNpIrOs crystal.

Values from the calculation:
Formation energy ... -0.16 eV per atom
Electronic total energy ... -9.905 eV per atom

a = 4.8600 Å, b = 4.8600 Å, c = 4.8600 Å
α = 60.00°, β = 60.00°, γ = 60.00°
With the nearest neighbours (Å) after each atom.
Positions (direct):
Np 0.0000 0.0000 0.0000  4 Ir 2.98, 4 Os 2.98
Ir 0.7500 0.7500 0.7500  4 Ce 2.98, 4 Np 2.98
Os 0.2500 0.2500 0.2500  4 Ce 2.98, 4 Np 2.98
Ce 0.5000 0.5000 0.5000  4 Os 2.98, 4 Ir 2.98

What did the third record say?
## CeNpIrOs (PBE-GGA)

Data for a relaxed CeNpIrOs crystal.

Values from the calculation:
Formation energy ... -0.16 eV per atom
Electronic total energy ... -9.905 eV per atom

a = 4.8600 Å, b = 4.8600 Å, c = 4.8600 Å
α = 60.00°, β = 60.00°, γ = 60.00°
With the nearest neighbours (Å) after each atom.
Positions (direct):
Np 0.0000 0.0000 0.0000  4 Ir 2.98, 4 Os 2.98
Ir 0.7500 0.7500 0.7500  4 Ce 2.98, 4 Np 2.98
Os 0.2500 0.2500 0.2500  4 Ce 2.98, 4 Np 2.98
Ce 0.5000 0.5000 0.5000  4 Os 2.98, 4 Ir 2.98